Material: InCuSb2
Method: DFT, GGA-PBE
State: optimized geometry

Computed properties:
- calculated density (Mg/m³) = 5.9
- D(E_F) (states/eV/f.u.) = 2.04
- formation energy without anion corrections (kJ/mol of formula units) = 48

Cell lengths 8.2699, 8.2699, 8.2699 Å; angles 139.38, 139.38, 58.80 degrees
Positions (direct):
In: 0.0000 0.0000 0.0000
In: 0.7500 0.2500 0.5000
Cu: 0.2500 0.7500 0.5000
Cu: 0.5000 0.5000 0.0000
Sb: 0.1856 0.6250 0.0606
Sb: 0.3750 0.4356 0.5606
Sb: 0.5644 0.1250 0.9394
Sb: 0.8750 0.8144 0.4394